The following is a GGA-PBE calculation of a geometry-optimized Tl3Bi2SbTe6 structure, from the Alexandria database.

Unit cell a=7.878 b=7.878 c=8.384 alpha=99.01 beta=99.01 gamma=119.98
Fractional coordinates of all 12 atoms:
Te1 0.927 0.599 0.780
Te2 0.073 0.401 0.220
Te3 0.599 0.927 0.780
Te4 0.253 0.253 0.778
Te5 0.401 0.073 0.220
Te6 0.747 0.747 0.222
Bi1 0.334 0.666 0.000
Bi2 0.666 0.334 0.000
Tl1 0.830 0.170 0.500
Tl2 0.170 0.830 0.500
Tl3 0.500 0.500 0.500
Sb1 0.000 0.000 0.000

Its spin magnetization is 0.0 μB per formula unit. The calculation puts the total energy at -0.126 hartree per atom. As for the space group: C2/m, No. 12. The value obtained for the energy relative to the elements, uncorrected is -285 meV/atom.